The following is a DFT calculation (PBE) of crystalline Zn2B2Rh3 at its relaxed geometry.

Calculated values
DOS at the Fermi energy   2.6 states/eV per cell
M_tot   0.00 μB per formula unit
Formation enthalpy at 0 K   -21 kJ per mole of atoms
ρ   8.48 Mg/m³

abc: 3.005 3.098 11.084
angles: 83.76 82.87 61.99
Space group P-1 (No. 2)
Asymmetric unit:
Zn: 0.136 0.138 0.096
B: 0.374 0.376 0.378
Rh: 0.000 0.000 0.500
Rh: 0.261 0.248 0.720